Crystalline Ho3ZnRu at its relaxed geometry, computed with PBE-GGA.

**Symmetry**: P2_1/c (14)
**Theoretical density**: 8.8 Mg/m³
**Offset from the most stable computed form**: 0.085 eV/atom
**Energy of formation**: -0.28 eV per atom
**DOS at the Fermi energy**: 3.91 states/eV/f.u.
**Total magnetization**: 0.000 μB per cell

extended XYZ file:
```
20
Lattice="5.7542 0.0000 0.0000 0.0000 7.9224 0.6433 0.0000 -0.4724 10.8740" Properties=species:S:1:pos:R:3 pbc="T T T"
Ho 0.7109 7.5408 4.4645
Ho 5.0433 -0.0908 7.0528
Ho 3.5880 0.1454 1.6158
Ho 2.1662 7.3046 9.9015
Ho 3.3666 5.6478 5.0961
Ho 2.3876 1.8022 6.4212
Ho 0.4895 2.0384 0.9842
Ho 5.2647 5.4116 10.5331
Ho 0.5674 4.6329 7.1737
Ho 5.1868 2.8172 4.3436
Ho 3.4445 2.5810 9.7805
Ho 2.3097 4.8691 1.7368
Zn 5.1842 5.2649 2.6406
Zn 0.5699 2.1852 8.8767
Zn 2.3072 2.4214 3.4397
Zn 3.4470 5.0287 8.0776
Ru 1.9827 6.9646 7.0768
Ru 3.7715 0.4855 4.4404
Ru 4.8598 0.2493 9.8774
Ru 0.8944 7.2007 1.6399
```